Record 1
{"formula": "AlZn4Os", "functional": "PBE", "state": "relaxed", "cell": [[0.0000, 3.4733, 3.4733], [3.4733, 0.0000, 3.4733], [3.4733, 3.4733, 0.0000]], "species": ["Al", "Zn", "Zn", "Zn", "Zn", "Os"], "frac_coords": [[0.2500, 0.2500, 0.2500], [0.6257, 0.6257, 0.1229], [0.6257, 0.1229, 0.6257], [0.6257, 0.6257, 0.6257], [0.1229, 0.6257, 0.6257], [0.0000, 0.0000, 0.0000]], "formation_enthalpy_0k_ev_per_atom": 0.12}

Record 2
{"formula": "CoNiAs4", "functional": "PBE", "state": "relaxed", "cell": [[5.7879, 0.0000, -0.1970], [0.0000, 5.8171, 0.0000], [-0.1133, 0.0000, 5.7354]], "species": ["Co", "Co", "Ni", "Ni", "As", "As", "As", "As", "As", "As", "As", "As"], "frac_coords": [[0.5000, 0.0000, 0.5000], [0.0000, 0.5000, 0.5000], [0.0000, 0.0000, 0.0000], [0.5000, 0.5000, 0.0000], [0.8884, 0.6287, 0.1253], [0.6116, 0.1287, 0.8747], [0.3665, 0.3725, 0.3867], [0.1335, 0.8725, 0.6133], [0.1116, 0.3713, 0.8747], [0.3884, 0.8713, 0.1253], [0.6335, 0.6275, 0.6133], [0.8665, 0.1275, 0.3867]], "de_polymorph_mev_per_atom": 73, "formation_enthalpy_0k_ev_per_atom": -0.21}

Record 3
{"formula": "K2BiH6", "functional": "PBE", "state": "relaxed", "cell": [[-0.3975, 4.1278, -2.2944], [-6.2874, 0.0525, 1.1836], [4.0582, 2.6960, 4.1470]], "species": ["K", "K", "Bi", "H", "H", "H", "H", "H", "H"], "frac_coords": [[0.5000, 0.3333, 0.6667], [0.5000, 0.6667, 0.3333], [0.0000, 0.0000, 0.0000], [0.7554, 0.0000, 0.7381], [0.7554, 0.7381, 0.0000], [0.7553, 0.2618, 0.2618], [0.2446, 0.2619, 0.0000], [0.2446, 0.0000, 0.2619], [0.2447, 0.7382, 0.7382]], "de_polymorph_mev_per_atom": 6}

Record 4
{"formula": "TmCd2Sn", "functional": "PBE", "state": "relaxed", "cell": [[-0.1979, -0.2734, 3.3050], [2.4445, -1.4809, 1.6936], [6.0701, 9.5195, 2.8207]], "species": ["Tm", "Sn", "Cd", "Cd"], "frac_coords": [[0.0000, 0.0000, 0.0000], [0.5000, 0.5000, 0.5000], [0.0897, 0.0897, 0.7309], [0.9103, 0.9103, 0.2691]], "de_polymorph_mev_per_atom": 558, "formation_enthalpy_0k_ev_per_atom": 0.18}

Record 5
{"formula": "LaRuI2N", "functional": "PBE", "state": "relaxed", "cell": [[5.7147, 0.0000, 0.0000], [0.0000, 5.7147, 0.0000], [0.0000, 0.0000, 3.7809]], "species": ["I", "I", "Ru", "N", "La"], "frac_coords": [[0.0000, 0.5000, 0.0000], [0.5000, 0.0000, 0.0000], [0.0000, 0.0000, 0.0000], [0.0000, 0.0000, 0.5000], [0.5000, 0.5000, 0.5000]], "de_polymorph_mev_per_atom": 0, "e_form_raw_ev_per_atom": -0.183}

Record 6
{"formula": "KBaGaH2", "functional": "PBE", "state": "relaxed", "cell": [[-1.5228, -3.7235, 3.1458], [3.8495, 1.7605, 3.9472], [-3.4963, 3.1309, 2.0133]], "species": ["H", "H", "K", "Ba", "Ga"], "frac_coords": [[0.0000, 0.0000, 0.5000], [0.5000, 0.0000, 0.0000], [0.0000, 0.5000, 0.0000], [0.5000, 0.5000, 0.5000], [0.0000, 0.0000, 0.0000]], "e_tot_ev_per_cell": -9.60}

Record 7
{"formula": "Na2Hf2VSe6", "functional": "PBE", "state": "relaxed", "cell": [[6.5521, -0.0223, 0.0551], [-3.2578, 5.6848, 0.0551], [-1.1733, -2.0169, 7.1613]], "species": ["Na", "Na", "Hf", "Hf", "V", "Se", "Se", "Se", "Se", "Se", "Se"], "frac_coords": [[0.8323, 0.1677, 0.0000], [0.1677, 0.8323, 0.0000], [0.3327, 0.6673, 0.5000], [0.6673, 0.3327, 0.5000], [0.0000, 0.0000, 0.5000], [0.7420, 0.7420, 0.7139], [0.0743, 0.4023, 0.7150], [0.2580, 0.2580, 0.2861], [0.4023, 0.0743, 0.7150], [0.9257, 0.5977, 0.2850], [0.5977, 0.9257, 0.2850]], "e_form_raw_ev_per_atom": -1.205}

Record 8
{"formula": "Pm5HgSe4", "functional": "PBE", "state": "relaxed", "cell": [[1.4694, -5.7583, 0.8573], [4.5723, -2.7186, -5.0707], [5.9858, -0.9854, 4.1483]], "species": ["Pm", "Pm", "Pm", "Pm", "Pm", "Hg", "Se", "Se", "Se", "Se"], "frac_coords": [[0.8993, 0.4078, 0.7957], [0.3071, 0.7957, 0.5922], [0.6950, 0.2043, 0.4078], [0.1028, 0.5922, 0.2043], [0.5010, 0.0000, 0.0000], [0.0011, 0.0000, 0.0000], [0.4000, 0.4017, 0.8004], [0.8017, 0.8004, 0.5983], [0.2003, 0.1996, 0.4017], [0.6021, 0.5983, 0.1996]], "e_form_raw_ev_per_atom": -1.576}

Record 9
{"formula": "NiAs2W", "functional": "PBE", "state": "relaxed", "cell": [[10.3376, 0.0827, 0.0485], [9.9195, 2.9112, 0.0485], [9.9195, 1.4661, 2.5156]], "species": ["As", "As", "Ni", "W"], "frac_coords": [[0.9777, 0.9777, 0.9777], [0.7783, 0.7783, 0.7783], [0.5039, 0.5039, 0.5039], [0.2401, 0.2401, 0.2401]], "de_polymorph_mev_per_atom": 165, "formation_enthalpy_0k_ev_per_atom": 0.20}

Record 10
{"formula": "Y6Er3Th2", "functional": "PBE", "state": "relaxed", "cell": [[12.5005, 0.0000, 0.0000], [0.0000, 5.9314, 0.0000], [0.0000, 0.0000, 10.1892]], "species": ["Y", "Y", "Y", "Y", "Y", "Y", "Y", "Y", "Y", "Y", "Y", "Y", "Er", "Er", "Er", "Er", "Er", "Er", "Th", "Th", "Th", "Th"], "frac_coords": [[0.2005, 0.3117, 0.0000], [0.2210, 0.2872, 0.3394], [0.2210, 0.2872, 0.6606], [0.7210, 0.2128, 0.8394], [0.7210, 0.2128, 0.1606], [0.7005, 0.1883, 0.5000], [0.2995, 0.8117, 0.5000], [0.2790, 0.7872, 0.1606], [0.2790, 0.7872, 0.8394], [0.7790, 0.7128, 0.6606], [0.7790, 0.7128, 0.3394], [0.7995, 0.6883, 0.0000], [0.5000, 0.5000, 0.5000], [0.0000, 0.5000, 0.8200], [0.0000, 0.5000, 0.1800], [0.5000, 0.0000, 0.3200], [0.5000, 0.0000, 0.6800], [0.0000, 0.0000, 0.0000], [0.4468, 0.2400, 0.0000], [0.9468, 0.2600, 0.5000], [0.0532, 0.7400, 0.5000], [0.5532, 0.7600, 0.0000]], "formation_enthalpy_0k_ev_per_atom": 0.34}

Record 11
{"formula": "NaSr5Zn2", "functional": "PBE", "state": "relaxed", "cell": [[8.0916, 0.0000, -3.8196], [-1.8031, 7.8881, -3.8196], [-0.1211, -0.1519, 10.2238]], "species": ["Na", "Na", "Sr", "Sr", "Sr", "Sr", "Sr", "Sr", "Sr", "Sr", "Sr", "Sr", "Zn", "Zn", "Zn", "Zn"], "frac_coords": [[0.7500, 0.7500, 0.5000], [0.2500, 0.2500, 0.5000], [0.5242, 0.7042, 0.7284], [0.7958, 0.9758, 0.2716], [0.0000, 0.0000, 0.0000], [0.5000, 0.5000, 0.0000], [0.2042, 0.0242, 0.7284], [0.7042, 0.2042, 0.7284], [0.0242, 0.5242, 0.7284], [0.2958, 0.7958, 0.2716], [0.9758, 0.4758, 0.2716], [0.4758, 0.2958, 0.2716], [0.1254, 0.3746, 0.0000], [0.6254, 0.1254, 0.0000], [0.3746, 0.8746, 0.0000], [0.8746, 0.6254, 0.0000]], "formation_enthalpy_0k_ev_per_atom": -0.10}

Record 12
{"formula": "SrLi2Sb2", "functional": "PBE", "state": "relaxed", "cell": [[-2.6498, -2.8747, -2.3887], [3.0807, -0.0218, -3.3912], [5.5705, -9.3897, 5.1207]], "species": ["Sr", "Sr", "Li", "Li", "Li", "Li", "Sb", "Sb", "Sb", "Sb"], "frac_coords": [[0.5000, 0.0000, 0.2405], [0.0000, 0.5000, 0.7595], [0.0000, 0.5000, 0.3593], [0.5000, 0.0000, 0.6407], [0.5000, 0.5000, 0.0000], [0.0000, 0.0000, 0.0000], [0.5000, 0.5000, 0.5000], [0.0000, 0.0000, 0.5000], [0.0000, 0.5000, 0.1391], [0.5000, 0.0000, 0.8609]], "de_polymorph_mev_per_atom": 0, "e_form_raw_ev_per_atom": -0.742}

Record 13
{"formula": "Ba2TlCdPt", "functional": "PBE", "state": "relaxed", "cell": [[-2.2459, -1.0260, -5.6620], [4.3946, -4.2296, -0.9767], [-3.1728, -3.7439, 1.9370]], "species": ["Tl", "Ba", "Ba", "Pt", "Cd"], "frac_coords": [[0.0000, 0.0000, 0.5000], [0.0000, 0.5000, 0.0000], [0.5000, 0.0000, 0.0000], [0.0000, 0.0000, 0.0000], [0.5000, 0.5000, 0.5000]], "de_polymorph_mev_per_atom": 21, "formation_enthalpy_0k_ev_per_atom": -0.39}